[1]
Below is a relaxed CaAc2VN4 crystal, with properties calculated at the GGA-PBE level.

Cell: 3.632 13.331 12.745 Å, 90.00 90.00 90.00°
Space group Cmcm (No. 63)
Unique sites:
Ca: 0.000 0.138 0.250 [4 per cell]
Ac: 0.000 0.372 0.040 [8 per cell]
V: 0.000 0.187 0.750 [4 per cell]
N: 0.000 0.000 0.000 [4 per cell]
N: 0.000 0.270 0.639 [8 per cell]
N: 0.000 0.370 0.250 [4 per cell]

Calculated values
size of the total moment	0.00	Bohr magnetons per cell
density	6.47	Mg/m³
formation energy from raw total energies	-0.929	eV/atom
Fermi-level density of states	4.51	states/eV/f.u.
energy	-7.509	eV/atom

[2]
Below is a relaxed Ba3SbI3 crystal, with properties calculated at the GGA-PBE level.

Cell: 17.808 9.930 10.295 Å, 90.00 125.29 90.00°
Space group C2/m (No. 12)
Unique sites:
Ba: 0.009 0.000 0.260 [4 per cell]
Ba: 0.250 0.250 0.276 [8 per cell]
Sb: 0.239 0.000 0.489 [4 per cell]
I: 0.000 0.242 0.000 [4 per cell]
I: 0.000 0.243 0.500 [4 per cell]
I: 0.241 0.000 0.991 [4 per cell]

Calculated values
size of the total moment	0.00	Bohr magnetons per cell
density	4.09	Mg/m³
formation energy from raw total energies	-1.509	eV/atom
energy	-3.586	eV/atom

[3]
Below is a relaxed Li2MnCr crystal, with properties calculated at the GGA-PBE level.

Cell: 2.293 2.293 9.084 Å, 90.00 90.00 90.00°
Space group P4/mmm (No. 123)
Unique sites:
Li: 0.000 0.000 0.243 [2 per cell]
Mn: 0.500 0.500 0.000 [1 per cell]
Cr: 0.500 0.500 0.500 [1 per cell]

Calculated values
size of the total moment	0.13	Bohr magnetons per cell
density	4.20	Mg/m³
Fermi-level density of states	4.24	states/eV/f.u.
excess energy over the best structure of this formula in the dataset	196.2	meV per atom
ΔE_f	0.468	eV per atom
energy	-5.187	eV/atom